1.
Here is LiTcCl6 after structural relaxation from Alexandria via LeMat-Bulk. Energies are from GGA-PBE.

Output
Final energy = -30.2 eV/cell
ΔE_f (raw) = -0.86 eV per atom
Total magnetization = 0.25 μB/atom
ρ = 2.4 g/cm³
Space-group type = C2/m, No. 12

Structure (POSCAR):
```
LiTcCl6
1.0
3.175 -5.934 0.000
3.175 5.934 0.000
-2.422 0.000 5.807
Li Tc Cl
1 1 6
direct
0.000 0.000 0.000 Li
0.500 0.500 0.500 Tc
0.124 0.402 0.260 Cl
0.281 0.281 0.719 Cl
0.402 0.124 0.260 Cl
0.598 0.876 0.740 Cl
0.719 0.719 0.281 Cl
0.876 0.598 0.740 Cl
```

2.
Here is LiTcCl2 after structural relaxation from Alexandria via LeMat-Bulk. Energies are from GGA-PBE.

Output
Final energy = -17.0 eV/cell
ΔE_f (raw) = -0.25 eV per atom
Total magnetization = 0.00 μB/atom
ρ = 4.4 g/cm³
Space-group type = Cmmm, No. 65
Distance to the lowest polymorph of the same formula = 0.86 eV per formula unit

Structure (POSCAR):
```
LiTcCl2
1.0
1.558 -2.899 0.000
1.558 2.899 0.000
0.000 0.000 7.352
Li Tc Cl
1 1 2
direct
0.000 0.000 0.000 Li
0.000 0.000 0.500 Tc
0.500 0.500 0.241 Cl
0.500 0.500 0.759 Cl
```

3.
Here is LiTcCl2 after structural relaxation from Alexandria via LeMat-Bulk. Energies are from GGA-PBE.

Output
Final energy = -17.8 eV/cell
ΔE_f (raw) = -0.47 eV per atom
Total magnetization = 0.00 μB/atom
ρ = 4.5 g/cm³
Space-group type = R-3m, No. 166
Distance to the lowest polymorph of the same formula = 0.00 eV per formula unit

Structure (POSCAR):
```
LiTcCl2
1.0
1.556 0.898 7.785
-1.556 0.898 7.785
0.000 -1.797 7.785
Li Tc Cl
1 1 2
direct
0.000 0.000 0.000 Li
0.500 0.500 0.500 Tc
0.400 0.400 0.400 Cl
0.600 0.600 0.600 Cl
```

4.
Here is LiTcCl2 after structural relaxation from Alexandria via LeMat-Bulk. Energies are from GGA-PBE.

Output
Final energy = -17.0 eV/cell
ΔE_f (raw) = -0.25 eV per atom
Total magnetization = 0.69 μB/atom
ρ = 3.6 g/cm³
Space-group type = C2/m, No. 12
Distance to the lowest polymorph of the same formula = 0.85 eV per formula unit

Structure (POSCAR):
```
LiTcCl2
1.0
3.499 -3.497 0.000
3.499 3.497 0.000
-0.033 0.000 3.302
Li Tc Cl
1 1 2
direct
0.000 0.000 0.000 Li
0.500 0.500 0.000 Tc
0.000 0.500 0.000 Cl
0.500 0.000 0.000 Cl
```

5.
Here is LiTcCl2 after structural relaxation from Alexandria via LeMat-Bulk. Energies are from GGA-PBE.

Output
Final energy = -17.0 eV/cell
ΔE_f (raw) = -0.27 eV per atom
Total magnetization = 0.14 μB/atom
ρ = 4.2 g/cm³
Space-group type = P2/m, No. 10
Distance to the lowest polymorph of the same formula = 0.79 eV per formula unit

Structure (POSCAR):
```
LiTcCl2
1.0
3.074 0.000 0.000
0.000 3.782 0.000
-1.284 0.000 6.002
Li Tc Cl
1 1 2
direct
0.000 0.000 0.000 Li
0.500 0.000 0.500 Tc
0.399 0.500 0.249 Cl
0.601 0.500 0.751 Cl
```

6.
Here is LiTcCl2 after structural relaxation from Alexandria via LeMat-Bulk. Energies are from GGA-PBE.

Output
Final energy = -17.1 eV/cell
ΔE_f (raw) = -0.29 eV per atom
Total magnetization = 0.61 μB/atom
ρ = 3.8 g/cm³
Space-group type = Pm, No. 6
Distance to the lowest polymorph of the same formula = 0.70 eV per formula unit

Structure (POSCAR):
```
LiTcCl2
1.0
3.249 0.000 0.000
0.000 4.804 0.000
-0.257 0.000 4.952
Li Tc Cl
1 1 2
direct
0.000 0.000 0.000 Li
0.604 0.500 0.359 Tc
0.533 0.000 0.354 Cl
0.661 0.500 0.858 Cl
```

7.
Here is LiTcCl2 after structural relaxation from Alexandria via LeMat-Bulk. Energies are from GGA-PBE.

Output
Final energy = -14.3 eV/cell
ΔE_f (raw) = 0.43 eV per atom
Total magnetization = 1.04 μB/atom
ρ = 3.7 g/cm³
Space-group type = F-43m, No. 216
Distance to the lowest polymorph of the same formula = 3.57 eV per formula unit

Structure (POSCAR):
```
LiTcCl2
1.0
0.000 3.405 3.405
3.405 0.000 3.405
3.405 3.405 0.000
Li Tc Cl
1 1 2
direct
0.000 0.000 0.000 Li
0.750 0.750 0.750 Tc
0.250 0.250 0.250 Cl
0.500 0.500 0.500 Cl
```

8.
Here is LiTcCl2 after structural relaxation from Alexandria via LeMat-Bulk. Energies are from GGA-PBE.

Output
Final energy = -16.3 eV/cell
ΔE_f (raw) = -0.08 eV per atom
Total magnetization = 0.07 μB/atom
ρ = 3.8 g/cm³
Space-group type = Cmm2, No. 35
Distance to the lowest polymorph of the same formula = 1.55 eV per formula unit

Structure (POSCAR):
```
LiTcCl2
1.0
1.611 -2.612 0.000
1.611 2.612 0.000
0.000 0.000 9.034
Li Tc Cl
1 1 2
direct
0.000 0.000 0.000 Li
0.500 0.500 0.718 Tc
0.000 0.000 0.530 Cl
0.500 0.500 0.160 Cl
```